(1)
GGA-PBE Ce2NiAs2, relaxed; ρ = 7.2 g/cm³; magnetic moment = 1.98 μB/f.u.; formation energy = -1081.1 meV/atom; DOS at the Fermi energy = 9.7 states/eV/f.u.
1.0
-1.0039 3.0827 2.5919
-2.0592 -3.6004 0.1610
5.0050 -2.6357 5.0734
Ce As Ni
2 2 1
direct
0.0000 0.0000 0.2563
0.0000 0.0000 0.7437
0.6667 0.3333 0.0000
0.3333 0.6667 0.5000
0.3333 0.6667 0.0000

***

(2)
GGA-PBE Tl2InCo, relaxed; relative energy among the computed polymorphs = 342 meV/atom; ρ = 10.4 g/cm³; magnetic moment = 1.70 μB/f.u.; formation energy = 568.5 meV/atom; DOS at the Fermi energy = 5.3 states/eV/f.u.
1.0
5.3343 -0.0360 0.0000
-1.6758 5.0644 0.0000
0.0000 0.0000 3.4445
Co In Tl
1 1 2
direct
0.5000 0.0000 0.5000
0.0000 0.5000 0.5000
0.5000 0.5000 0.0000
0.0000 0.0000 0.0000

***

(3)
GGA-PBE Mg4CuAg, relaxed; relative energy among the computed polymorphs = 0 meV/atom; ρ = 3.8 g/cm³; magnetic moment = 0.00 μB/f.u.; formation energy = -125.0 meV/atom; DOS at the Fermi energy = 1.6 states/eV/f.u.
1.0
5.2108 -0.1099 -1.3971
-3.0905 4.1968 -1.3971
0.0570 0.1099 5.3945
Mg Ag Cu
4 1 1
direct
0.0839 0.9161 0.5000
0.4161 0.5839 0.5000
0.9161 0.4161 0.8321
0.5839 0.0839 0.1679
0.0000 0.0000 0.0000
0.5000 0.5000 0.0000

***

(4)
GGA-PBE TmTlPd, relaxed; ρ = 12.0 g/cm³; magnetic moment = 0.00 μB/f.u.; formation energy = -529.3 meV/atom; DOS at the Fermi energy = 1.1 states/eV/f.u.
1.0
3.7368 0.0000 0.0000
0.0000 3.7368 0.0000
-1.8684 -1.8684 4.7489
Tm Tl Pd
1 1 1
direct
0.9366 0.9366 0.8733
0.6217 0.6217 0.2435
0.2916 0.2916 0.5832

***

(5)
GGA-PBE K2AgOs, relaxed; relative energy among the computed polymorphs = 198 meV/atom; ρ = 6.8 g/cm³; magnetic moment = 0.00 μB/f.u.; formation energy = 1062.4 meV/atom; DOS at the Fermi energy = 2.1 states/eV/f.u.
1.0
-5.9466 -1.8063 2.3200
2.9749 -4.1217 -3.5941
0.2088 -1.7751 2.1013
Ag K Os
1 2 1
direct
0.5000 0.5000 0.0000
0.0000 0.0000 0.0000
0.5000 0.0000 0.5000
0.0000 0.5000 0.5000